[1]
Compound: CaAuSe2
Source: the Alexandria database
Functional: PBE
Structure: relaxed

Cell and atoms, written as POSCAR:
```
CaAuSe2
1.0
-2.858 2.858 7.313
2.858 -2.858 7.313
2.858 2.858 -7.313
Ca Au Se
2 2 4
direct
0.000 0.000 0.000 Ca
0.750 0.250 0.500 Ca
0.250 0.750 0.500 Au
0.500 0.500 0.000 Au
0.168 0.625 0.043 Se
0.375 0.418 0.543 Se
0.582 0.125 0.957 Se
0.875 0.832 0.457 Se
```

Computed properties:
As for the space-group type: I-42d. Its uncorrected formation energy is -2.89 eV per formula unit.

***

[2]
Compound: Si3As2
Source: the Alexandria database
Functional: PBE
Structure: relaxed

Cell and atoms, written as POSCAR:
```
Si3As2
1.0
4.557 0.000 0.000
-2.278 3.946 0.000
0.000 0.000 5.248
Si As
3 2
direct
0.000 0.000 0.000 Si
0.333 0.667 0.232 Si
0.667 0.333 0.768 Si
0.333 0.667 0.746 As
0.667 0.333 0.254 As
```

Computed properties:
As for the space-group type: P-3m1. Its uncorrected formation energy is 2.16 eV per formula unit.

***

[3]
Compound: BaSiMo2
Source: the Alexandria database
Functional: PBE
Structure: relaxed

Cell and atoms, written as POSCAR:
```
BaSiMo2
1.0
-2.369 2.369 9.145
2.369 -2.369 9.145
2.369 2.369 -9.145
Ba Si Mo
2 2 4
direct
0.000 0.000 0.000 Ba
0.750 0.250 0.500 Ba
0.250 0.750 0.500 Si
0.500 0.500 0.000 Si
0.310 0.125 0.685 Mo
0.375 0.690 0.815 Mo
0.440 0.625 0.315 Mo
0.875 0.560 0.185 Mo
```

Computed properties:
As for the space-group type: I-42d. Its uncorrected formation energy is 2.89 eV per formula unit.

***

[4]
Compound: Ta2InCu
Source: the Alexandria database
Functional: PBE
Structure: relaxed

Cell and atoms, written as POSCAR:
```
Ta2InCu
1.0
2.908 0.000 0.000
0.000 2.908 0.000
0.000 0.000 8.226
Ta In Cu
2 1 1
direct
0.000 0.000 0.219 Ta
0.000 0.000 0.781 Ta
0.500 0.500 0.500 In
0.500 0.500 0.000 Cu
```

Computed properties:
As for the space-group type: P4/mmm.

***

[5]
Compound: Nd4NiGeBr2
Source: the Alexandria database
Functional: PBE
Structure: relaxed

Cell and atoms, written as POSCAR:
```
Nd4NiGeBr2
1.0
7.536 0.000 0.000
0.000 4.103 0.000
-2.300 0.000 7.400
Nd Ni Ge Br
4 1 1 2
direct
0.214 0.000 0.197 Nd
0.257 0.500 0.784 Nd
0.743 0.500 0.216 Nd
0.786 0.000 0.803 Nd
0.000 0.500 0.000 Ni
0.500 0.000 0.000 Ge
0.000 0.000 0.500 Br
0.500 0.500 0.500 Br
```

Computed properties:
As for the space-group type: P2/m. Its uncorrected formation energy is -7.48 eV per formula unit.

***

[6]
Compound: GdDyGaPt
Source: the Alexandria database
Functional: PBE
Structure: relaxed

Cell and atoms, written as POSCAR:
```
GdDyGaPt
1.0
0.000 3.559 3.559
3.559 0.000 3.559
3.559 3.559 0.000
Gd Dy Ga Pt
1 1 1 1
direct
0.000 0.000 0.000 Gd
0.500 0.500 0.500 Dy
0.250 0.250 0.250 Ga
0.750 0.750 0.750 Pt
```

Computed properties:
As for the space-group type: F-43m.

***

Number 1: calculated total energy -0.139 Ha/atom, ρ 5.489 g/cm3, magnetic moment 0.00 μB/atom. Number 2: calculated total energy -0.172 Ha/atom, ρ 4.119 g/cm3, magnetic moment 0.00 μB/atom. Number 3: calculated total energy -0.240 Ha/atom, ρ 5.778 g/cm3, magnetic moment 0.00 μB/atom. Number 4: calculated total energy -0.275 Ha/atom, ρ 12.900 g/cm3, magnetic moment 0.00 μB/atom. Number 5: calculated total energy -0.185 Ha/atom, ρ 6.300 g/cm3, magnetic moment 0.00 μB/atom. Number 6: calculated total energy -0.286 Ha/atom, ρ 10.768 g/cm3, magnetic moment 1.77 μB/atom.